(1)
Here is crystalline TaMn2Rh at its relaxed geometry from the Alexandria database. Energies are from GGA-PBEsol.

Structure (POSCAR):
```
TaMn2Rh
1.0
3.073 0.000 0.000
0.000 3.073 0.000
0.000 0.000 5.791
Ta Mn Rh
1 2 1
Direct
0.000 0.000 0.000
0.500 0.500 0.251
0.500 0.500 0.749
0.000 0.000 0.500
```

Computed properties:
space group	P4/mmm
ΔE_f	6	meV/atom
magnetization	4.95	μB per formula unit
raw total energy	-0.3692	Ha/atom
density	11.956	g/cm³


(2)
Here is crystalline Mn2TcRh at its relaxed geometry from the Alexandria database. Energies are from GGA-PBEsol.

Structure (POSCAR):
```
Mn2TcRh
1.0
3.936 0.000 0.000
0.000 1.304 4.706
0.000 -1.304 4.706
Mn Tc Rh
2 1 1
Direct
0.000 0.000 0.000
0.500 0.114 0.114
0.000 0.729 0.729
0.500 0.384 0.384
```

Computed properties:
space group	Amm2
ΔE_f	-4	meV/atom
magnetization	0.00	μB per formula unit
raw total energy	-0.3578	Ha/atom
density	10.682	g/cm³


(3)
Here is crystalline MnTcRh at its relaxed geometry from the Alexandria database. Energies are from GGA-PBEsol.

Structure (POSCAR):
```
MnTcRh
1.0
4.104 0.000 0.000
-2.052 3.554 0.000
0.000 0.000 2.627
Mn Tc Rh
1 1 1
Direct
0.000 0.000 0.000
0.333 0.667 0.000
0.667 0.333 0.500
```

Computed properties:
space group	P-6m2
ΔE_f	61	meV/atom
offset from the most stable computed form	32	meV/atom
magnetization	0.00	μB per formula unit
raw total energy	-0.3550	Ha/atom
density	11.087	g/cm³


(4)
Here is crystalline Mn2TcRh at its relaxed geometry from the Alexandria database. Energies are from GGA-PBEsol.

Structure (POSCAR):
```
Mn2TcRh
1.0
2.602 0.000 0.000
0.000 2.602 0.000
0.000 0.000 7.239
Mn Tc Rh
2 1 1
Direct
0.000 0.000 0.000
0.500 0.500 0.222
0.500 0.500 0.746
0.000 0.000 0.476
```

Computed properties:
space group	P4mm
ΔE_f	28	meV/atom
magnetization	0.34	μB per formula unit
raw total energy	-0.3566	Ha/atom
density	10.528	g/cm³


(5)
Here is crystalline Mn2TcRh at its relaxed geometry from the Alexandria database. Energies are from GGA-PBEsol.

Structure (POSCAR):
```
Mn2TcRh
1.0
4.234 -1.294 0.000
4.234 1.294 0.000
-0.770 0.000 4.476
Mn Tc Rh
2 1 1
Direct
0.248 0.248 0.251
0.752 0.752 0.749
0.000 0.000 0.500
0.500 0.500 0.000
```

Computed properties:
space group	C2/m
ΔE_f	93	meV/atom
magnetization	1.83	μB per formula unit
raw total energy	-0.3542	Ha/atom
density	10.517	g/cm³


(6)
Here is crystalline MnTcRh at its relaxed geometry from the Alexandria database. Energies are from GGA-PBEsol.

Structure (POSCAR):
```
MnTcRh
1.0
-1.309 1.853 3.974
1.309 -1.853 3.974
1.309 1.853 -3.974
Mn Tc Rh
1 1 1
Direct
0.000 0.000 0.000
0.340 0.340 0.000
0.666 0.666 0.000
```

Computed properties:
space group	Imm2
ΔE_f	29	meV/atom
offset from the most stable computed form	0	meV/atom
magnetization	1.69	μB per formula unit
raw total energy	-0.3562	Ha/atom
density	11.021	g/cm³


(7)
Here is crystalline Mn2TeRh at its relaxed geometry from the Alexandria database. Energies are from GGA-PBEsol.

Structure (POSCAR):
```
Mn2TeRh
1.0
-1.901 1.901 4.105
1.901 -1.901 4.105
1.901 1.901 -4.105
Mn Te Rh
2 1 1
Direct
0.000 0.000 0.000
0.750 0.250 0.500
0.250 0.750 0.500
0.500 0.500 0.000
```

Computed properties:
space group	I-4m2
magnetization	6.56	μB per formula unit
raw total energy	-0.2800	Ha/atom
formation energy (no corrections)	0.707	eV/f.u.
density	9.526	g/cm³


(8)
Here is crystalline Mn2TeRh at its relaxed geometry from the Alexandria database. Energies are from GGA-PBEsol.

Structure (POSCAR):
```
Mn2TeRh
1.0
0.000 3.049 3.049
3.049 0.000 3.049
3.049 3.049 0.000
Mn Te Rh
2 1 1
Direct
0.000 0.000 0.000
0.250 0.250 0.250
0.500 0.500 0.500
0.750 0.750 0.750
```

Computed properties:
space group	F-43m
magnetization	4.97	μB per formula unit
raw total energy	-0.2805	Ha/atom
formation energy (no corrections)	0.651	eV/f.u.
density	9.970	g/cm³